No. 1
The following is a DFT calculation (PBE) of a geometry-optimized FeMo2As structure.

Formation energy (meV per atom): 272.9
Total DFT energy (no corrections) (eV/f.u.): -33.68
Magnetic moment (μB/atom): 0.169

Geometry as extended XYZ:
```
4
Lattice="0.000 3.050 3.050 3.050 0.000 3.050 3.050 3.050 0.000" Properties=species:S:1:pos:R:3 pbc="T T T"
Fe 0.000 0.000 0.000
Mo 1.525 1.525 1.525
Mo 3.050 3.050 3.050
As 4.575 4.575 4.575
```


No. 2
The following is a DFT calculation (PBE) of a geometry-optimized NaIn5Au3 structure.

Formation energy (meV per atom): -116.2
Total DFT energy (no corrections) (eV/f.u.): -25.89
Magnetic moment (μB/atom): 0.000

Geometry as extended XYZ:
```
18
Lattice="5.878 -4.734 0.000 5.878 4.734 0.000 -5.304 0.000 9.172" Properties=species:S:1:pos:R:3 pbc="T T T"
Na -0.607 0.000 2.731
Na 7.060 0.000 6.442
In 1.879 2.668 3.347
In 2.720 0.000 0.457
In 5.878 1.992 0.000
In 4.574 2.668 5.826
In 1.396 0.000 5.827
In 5.056 0.000 3.345
In 1.879 -2.668 3.347
In 5.878 -1.992 0.000
In 3.733 0.000 8.715
In 4.574 -2.668 5.826
Au 0.000 0.000 0.000
Au -2.652 0.000 4.586
Au -0.687 0.000 7.669
Au 2.293 0.000 3.164
Au 4.160 0.000 6.008
Au 7.139 0.000 1.503
```